Entry one
Computed, not measured: a geometry-optimized Ga2Fe2Hg structure at the PBE-GGA level of DFT.

Calculated values
The value obtained for the density of states at the Fermi level is 4.79 states/eV/f.u. The space group is I4/mmm (139).

Cell: 6.5104 6.5104 6.5104 Å, 146.79 146.79 47.67°
Closest atoms and distances in Å follow each position.
Fractional coordinates of all 5 atoms:
Ga: 0.1082 0.1082 0.0000  4 Fe 2.51, 1 Ga 2.58
Ga: 0.8918 0.8918 0.0000  4 Fe 2.51, 1 Ga 2.58
Fe: 0.2500 0.7500 0.5000  4 Ga 2.51, 4 Fe 2.63
Fe: 0.7500 0.2500 0.5000  4 Ga 2.51, 4 Fe 2.63
Hg: 0.5000 0.5000 0.0000  8 Ga 2.93

=====

Entry two
Computed, not measured: a geometry-optimized Ga2Fe2Hg structure at the PBE-GGA level of DFT.

Calculated values
The value obtained for the density of states at the Fermi level is 3.38 states/eV/f.u. The space group is P4/mbm (127).

Cell: 7.0574 7.0574 3.0379 Å, 90.00 90.00 90.00°
Closest atoms and distances in Å follow each position.
Fractional coordinates of all 10 atoms:
Ga: 0.1702 0.3298 0.0000  6 Fe 2.58
Ga: 0.3298 0.8298 0.0000  6 Fe 2.58
Ga: 0.6702 0.1702 0.0000  6 Fe 2.58
Ga: 0.8298 0.6702 0.0000  6 Fe 2.58
Fe: 0.1206 0.6206 0.5000  1 Fe 2.41, 6 Ga 2.58
Fe: 0.3794 0.1206 0.5000  1 Fe 2.41, 6 Ga 2.58
Fe: 0.6206 0.8794 0.5000  1 Fe 2.41, 6 Ga 2.58
Fe: 0.8794 0.3794 0.5000  1 Fe 2.41, 6 Ga 2.58
Hg: 0.0000 0.0000 0.5000  4 Fe 2.81, 8 Ga 3.03, 2 Hg 3.04
Hg: 0.5000 0.5000 0.5000  4 Fe 2.81, 8 Ga 3.03, 2 Hg 3.04

=====

Entry three
Computed, not measured: a geometry-optimized Ga2Fe2Hg structure at the PBE-GGA level of DFT.

Calculated values
The value obtained for the density of states at the Fermi level is 3.45 states/eV/f.u. The space group is P4/mbm (127).

Cell: 7.6411 7.6411 2.7033 Å, 90.00 90.00 90.00°
Closest atoms and distances in Å follow each position.
Fractional coordinates of all 10 atoms:
Ga: 0.1756 0.3244 0.0000  6 Fe 2.64, 2 Ga 2.70, 2 Hg 2.82
Ga: 0.3244 0.8244 0.0000  6 Fe 2.64, 2 Ga 2.70, 2 Hg 2.82
Ga: 0.6756 0.1756 0.0000  6 Fe 2.64, 2 Ga 2.70, 2 Hg 2.82
Ga: 0.8244 0.6756 0.0000  6 Fe 2.64, 2 Ga 2.70, 2 Hg 2.82
Fe: 0.1140 0.6140 0.5000  3 Fe 2.46-2.70, 6 Ga 2.64
Fe: 0.3860 0.1140 0.5000  3 Fe 2.46-2.70, 6 Ga 2.64
Fe: 0.6140 0.8860 0.5000  3 Fe 2.46-2.70, 6 Ga 2.64
Fe: 0.8860 0.3860 0.5000  3 Fe 2.46-2.70, 6 Ga 2.64
Hg: 0.0000 0.0000 0.0000  2 Hg 2.70, 4 Ga 2.82
Hg: 0.5000 0.5000 0.0000  2 Hg 2.70, 4 Ga 2.82

=====

entry two ends up most stable, edging out the next structure by 0.039 eV/atom.

=====

Entry one
Computed, not measured: a geometry-optimized GaFe2Hg structure at the PBE-GGA level of DFT.

Calculated values
The value obtained for the density of states at the Fermi level is 11.78 states/eV/f.u. The space group is Fm-3m (225).

Cell: 4.4038 4.4038 4.4038 Å, 60.00 60.00 60.00°
Closest atoms and distances in Å follow each position.
Fractional coordinates of all 4 atoms:
Ga: 0.0000 0.0000 0.0000  8 Fe 2.70
Fe: 0.2500 0.2500 0.2500  4 Hg 2.70, 4 Ga 2.70
Fe: 0.7500 0.7500 0.7500  4 Hg 2.70, 4 Ga 2.70
Hg: 0.5000 0.5000 0.5000  8 Fe 2.70

=====

Entry two
Computed, not measured: a geometry-optimized GaFe2Hg structure at the PBE-GGA level of DFT.

Calculated values
The value obtained for the density of states at the Fermi level is 1.26 states/eV/f.u. The space group is I-42d (122).

Cell: 9.1747 9.1747 9.1747 Å, 156.09 156.09 34.08°
Closest atoms and distances in Å follow each position.
Fractional coordinates of all 8 atoms:
Ga: 0.0000 0.0000 0.0000  4 Fe 2.44, 4 Hg 2.69
Ga: 0.7500 0.2500 0.5000  4 Fe 2.44, 4 Hg 2.69
Fe: 0.0101 0.6250 0.8851  2 Fe 2.16
Fe: 0.3750 0.2601 0.3851  2 Fe 2.16
Fe: 0.7399 0.1250 0.1149  2 Fe 2.16
Fe: 0.8750 0.9899 0.6149  2 Fe 2.16
Hg: 0.2500 0.7500 0.5000  4 Ga 2.69, 4 Fe 2.76
Hg: 0.5000 0.5000 0.0000  4 Ga 2.69, 4 Fe 2.76

=====

entry one ends up most stable, edging out the next structure by 0.379 eV/atom.

=====

Entry one
Computed, not measured: a geometry-optimized Ho2GaFe structure at the PBE-GGA level of DFT.

Calculated values
The value obtained for the density of states at the Fermi level is 3.41 states/eV/f.u. The space group is R-3m (166).

Cell: 10.1873 10.1873 10.1873 Å, 18.50 18.50 18.50°
Closest atoms and distances in Å follow each position.
Fractional coordinates of all 4 atoms:
Ho: 0.0888 0.0888 0.0888  1 Fe 2.67
Ho: 0.9112 0.9112 0.9112  1 Fe 2.67
Ga: 0.5000 0.5000 0.5000  6 Ho 3.01, 6 Ga 3.27
Fe: 0.0000 0.0000 0.0000  2 Ho 2.67

=====

Entry two
Computed, not measured: a geometry-optimized Ho2GaFe structure at the PBE-GGA level of DFT.

Calculated values
The value obtained for the density of states at the Fermi level is 2.84 states/eV/f.u. The space group is P4/mmm (123).

Cell: 3.4147 3.4147 6.9758 Å, 90.00 90.00 90.00°
Closest atoms and distances in Å follow each position.
Fractional coordinates of all 4 atoms:
Ho: 0.0000 0.0000 0.2284  4 Fe 2.89, 4 Ga 3.07, 1 Ho 3.19
Ho: 0.0000 0.0000 0.7716  4 Fe 2.89, 4 Ga 3.07, 1 Ho 3.19
Ga: 0.5000 0.5000 0.5000  8 Ho 3.07, 4 Ga 3.41
Fe: 0.5000 0.5000 0.0000  8 Ho 2.89

=====

entry two ends up most stable, edging out the next structure by 0.593 eV/atom.

=====

Entry one
Computed, not measured: a geometry-optimized HoGa6Fe6 structure at the PBE-GGA level of DFT.

Calculated values
The value obtained for the density of states at the Fermi level is 8.64 states/eV/f.u. The space group is Fmmm (69).

Cell: 8.5718 6.6288 6.5543 Å, 81.11 49.82 49.07°
Closest atoms and distances in Å follow each position.
Fractional coordinates of all 13 atoms:
Ho: 0.0000 0.0000 0.0000  8 Ga 3.01-3.28, 12 Fe 3.15-3.31
Ga: 0.0000 0.0000 0.5000  4 Fe 2.57, 6 Ga 2.59-2.78
Ga: 0.0168 0.3508 0.6492  3 Fe 2.52-2.67, 3 Ga 2.57-2.78
Ga: 0.3508 0.0168 0.9832  3 Fe 2.52-2.67, 3 Ga 2.57-2.78
Ga: 0.5000 0.5000 0.0000  4 Fe 2.57, 6 Ga 2.59-2.78
Ga: 0.6492 0.9832 0.0168  3 Fe 2.52-2.67, 3 Ga 2.57-2.78
Ga: 0.9832 0.6492 0.3508  3 Fe 2.52-2.67, 3 Ga 2.57-2.78
Fe: 0.0000 0.5000 0.0000  6 Fe 2.49-2.59, 4 Ga 2.52
Fe: 0.2915 0.4940 0.5060  4 Fe 2.44-2.62, 3 Ga 2.57-2.67
Fe: 0.4940 0.2915 0.7085  4 Fe 2.44-2.62, 3 Ga 2.57-2.67
Fe: 0.5000 0.0000 0.5000  6 Fe 2.49-2.59, 4 Ga 2.52
Fe: 0.5060 0.7085 0.2915  4 Fe 2.44-2.62, 3 Ga 2.57-2.67
Fe: 0.7085 0.5060 0.4940  4 Fe 2.44-2.62, 3 Ga 2.57-2.67

=====

Entry two
Computed, not measured: a geometry-optimized HoGa6Fe6 structure at the PBE-GGA level of DFT.

Calculated values
The value obtained for the density of states at the Fermi level is 7.15 states/eV/f.u. The space group is Immm (71).

Cell: 6.5508 6.5508 6.5508 Å, 134.96 99.44 97.44°
Closest atoms and distances in Å follow each position.
Fractional coordinates of all 13 atoms:
Ho: 0.0000 0.0000 0.0000  8 Ga 2.82-2.98
Ga: 0.1831 0.6831 0.5000  6 Fe 2.53-2.60
Ga: 0.3333 0.0000 0.3333  6 Fe 2.60-2.62, 1 Ho 2.82, 1 Ga 2.82
Ga: 0.3442 0.3442 0.0000  6 Fe 2.56-2.59, 1 Ga 2.69
Ga: 0.6558 0.6558 0.0000  6 Fe 2.56-2.59, 1 Ga 2.69
Ga: 0.6667 0.0000 0.6667  6 Fe 2.60-2.62, 1 Ho 2.82, 1 Ga 2.82
Ga: 0.8169 0.3169 0.5000  6 Fe 2.53-2.60
Fe: 0.0000 0.0000 0.5000  4 Fe 2.50-2.51, 6 Ga 2.53-2.60
Fe: 0.0000 0.5000 0.0000  4 Fe 2.50-2.51, 6 Ga 2.53-2.60
Fe: 0.2428 0.5000 0.7428  4 Fe 2.50, 6 Ga 2.56-2.62
Fe: 0.5000 0.0000 0.0000  4 Fe 2.50-2.51, 6 Ga 2.53-2.60
Fe: 0.5000 0.5000 0.5000  4 Fe 2.50-2.51, 6 Ga 2.53-2.60
Fe: 0.7572 0.5000 0.2572  4 Fe 2.50, 6 Ga 2.56-2.62

=====

entry two ends up most stable, edging out the next structure by 0.144 eV/atom.

=====

Entry one
Computed, not measured: a geometry-optimized Ga2FeI structure at the PBE-GGA level of DFT.

Calculated values
The value obtained for the density of states at the Fermi level is 0.93 states/eV/f.u. The space group is Fm-3m (225).

Cell: 5.1745 5.1745 5.1745 Å, 60.00 60.00 60.00°
Closest atoms and distances in Å follow each position.
Fractional coordinates of all 4 atoms:
Ga: 0.2500 0.2500 0.2500  4 Fe 3.17, 4 I 3.17
Ga: 0.7500 0.7500 0.7500  4 Fe 3.17, 4 I 3.17
Fe: 0.0000 0.0000 0.0000  8 Ga 3.17
I: 0.5000 0.5000 0.5000  8 Ga 3.17

=====

Entry two
Computed, not measured: a geometry-optimized Ga2FeI structure at the PBE-GGA level of DFT.

Calculated values
The value obtained for the density of states at the Fermi level is 4.52 states/eV/f.u. The space group is I-42d (122).

Cell: 8.7687 8.7687 8.7687 Å, 145.53 145.53 49.55°
Closest atoms and distances in Å follow each position.
Fractional coordinates of all 8 atoms:
Ga: 0.3750 0.2089 0.3339  2 Fe 2.42
Ga: 0.7911 0.1250 0.1661  2 Fe 2.42
Ga: 0.8750 0.0411 0.6661  2 Fe 2.42
Ga: 0.9589 0.6250 0.8339  2 Fe 2.42
Fe: 0.0000 0.0000 0.0000  4 Ga 2.42
Fe: 0.7500 0.2500 0.5000  4 Ga 2.42
I: 0.2500 0.7500 0.5000  4 Ga 3.21
I: 0.5000 0.5000 0.0000  4 Ga 3.21

=====

entry two ends up most stable, edging out the next structure by 0.311 eV/atom.

=====

Entry one
Computed, not measured: a geometry-optimized GaFeIN2 structure at the PBE-GGA level of DFT.

Calculated values
The value obtained for the density of states at the Fermi level is 6.88 states/eV/f.u. The space group is P4/mmm (123).

Cell: 3.9255 3.9255 6.0847 Å, 90.00 90.00 90.00°
Closest atoms and distances in Å follow each position.
Fractional coordinates of all 5 atoms:
Ga: 0.0000 0.0000 0.0000  4 N 1.96
Fe: 0.5000 0.5000 0.5000  4 I 2.78
I: 0.0000 0.0000 0.5000  4 Fe 2.78, 2 Ga 3.04
N: 0.0000 0.5000 0.0000  2 Ga 1.96
N: 0.5000 0.0000 0.0000  2 Ga 1.96

=====

Entry two
Computed, not measured: a geometry-optimized GaFeIN2 structure at the PBE-GGA level of DFT.

Calculated values
The value obtained for the density of states at the Fermi level is 4.51 states/eV/f.u. The space group is P4/mmm (123).

Cell: 3.8297 3.8297 5.4820 Å, 90.00 90.00 90.00°
Closest atoms and distances in Å follow each position.
Fractional coordinates of all 5 atoms:
Ga: 0.0000 0.0000 0.0000  4 I 2.71
Fe: 0.5000 0.5000 0.5000  4 N 1.91
I: 0.5000 0.5000 0.0000  4 Ga 2.71, 2 Fe 2.74
N: 0.0000 0.5000 0.5000  2 Fe 1.91
N: 0.5000 0.0000 0.5000  2 Fe 1.91

=====

entry two ends up most stable, edging out the next structure by 0.399 eV/atom.